Record 1
This record from Alexandria via LeMat-Bulk describes a relaxed structure of Cs2KCa2Cl7. The functional is GGA-PBE.

Computed properties:
ΔE_f (raw): -2.204 eV per atom
Electronic total energy: -3.85 eV/atom

a = 5.4232 Å, b = 5.4232 Å, c = 14.5521 Å
α = 79.24°, β = 79.24°, γ = 90.00°
Sites, in units of the cell vectors:
Ca 0.5973 0.5973 0.8056
Ca 0.4027 0.4027 0.1944
Cs 0.8169 0.8169 0.3657
Cs 0.1831 0.1831 0.6343
Cl 0.3063 0.3063 0.3868
Cl 0.9083 0.4084 0.1832
Cl 0.6937 0.6937 0.6132
Cl 0.0917 0.5916 0.8168
Cl 0.5916 0.0917 0.8168
Cl 0.4084 0.9083 0.1832
Cl 0.5000 0.5000 0.0000
K 0.0000 0.0000 0.0000

***

Record 2
This record from Alexandria via LeMat-Bulk describes a relaxed structure of KRbSb5. The functional is GGA-PBE.

Computed properties:
ΔE_f (raw): -0.166 eV per atom
Electronic total energy: -3.41 eV/atom

a = 6.9355 Å, b = 6.9355 Å, c = 13.9041 Å
α = 93.75°, β = 93.75°, γ = 128.13°
Sites, in units of the cell vectors:
K 0.0000 0.0000 0.0000
K 0.5000 0.5000 0.5000
Sb 0.9322 0.3696 0.3516
Sb 0.2368 0.8697 0.4575
Sb 0.0678 0.6304 0.6484
Sb 0.7632 0.1303 0.5425
Sb 0.6303 0.2632 0.0425
Sb 0.8696 0.4322 0.8516
Sb 0.5790 0.9210 0.7500
Sb 0.4210 0.0790 0.2500
Sb 0.3697 0.7368 0.9575
Sb 0.1304 0.5678 0.1484
Rb 0.7387 0.7613 0.2500
Rb 0.2613 0.2387 0.7500

***

Please write out number 1 again, unchanged.
This record from Alexandria via LeMat-Bulk describes a relaxed structure of Cs2KCa2Cl7. The functional is GGA-PBE.

Computed properties:
ΔE_f (raw): -2.204 eV per atom
Electronic total energy: -3.85 eV/atom

a = 5.4232 Å, b = 5.4232 Å, c = 14.5521 Å
α = 79.24°, β = 79.24°, γ = 90.00°
Sites, in units of the cell vectors:
Ca 0.5973 0.5973 0.8056
Ca 0.4027 0.4027 0.1944
Cs 0.8169 0.8169 0.3657
Cs 0.1831 0.1831 0.6343
Cl 0.3063 0.3063 0.3868
Cl 0.9083 0.4084 0.1832
Cl 0.6937 0.6937 0.6132
Cl 0.0917 0.5916 0.8168
Cl 0.5916 0.0917 0.8168
Cl 0.4084 0.9083 0.1832
Cl 0.5000 0.5000 0.0000
K 0.0000 0.0000 0.0000

***

Please write out number 2 again, unchanged.
This record from Alexandria via LeMat-Bulk describes a relaxed structure of KRbSb5. The functional is GGA-PBE.

Computed properties:
ΔE_f (raw): -0.166 eV per atom
Electronic total energy: -3.41 eV/atom

a = 6.9355 Å, b = 6.9355 Å, c = 13.9041 Å
α = 93.75°, β = 93.75°, γ = 128.13°
Sites, in units of the cell vectors:
K 0.0000 0.0000 0.0000
K 0.5000 0.5000 0.5000
Sb 0.9322 0.3696 0.3516
Sb 0.2368 0.8697 0.4575
Sb 0.0678 0.6304 0.6484
Sb 0.7632 0.1303 0.5425
Sb 0.6303 0.2632 0.0425
Sb 0.8696 0.4322 0.8516
Sb 0.5790 0.9210 0.7500
Sb 0.4210 0.0790 0.2500
Sb 0.3697 0.7368 0.9575
Sb 0.1304 0.5678 0.1484
Rb 0.7387 0.7613 0.2500
Rb 0.2613 0.2387 0.7500

***

Look up the electronic total energy of the first one.
-3.85 eV/atom

***

Number 2 is which compound?
KRbSb5